BeRuN2F | PBE | relaxed

a b c (Å): 3.8132 3.8132 4.1500
angles (deg): 90.00 90.00 90.00
Each line ends with the local moment (μB).
Fractional positions:
Ru1 0.0000 0.0000 0.0000  -0.04
Be1 0.5000 0.5000 0.5000  -0.04
N1 0.0000 0.5000 0.0000  0.12
N2 0.5000 0.0000 0.0000  0.12
F1 0.0000 0.0000 0.5000  0.00

Properties
**Space-group type**: P4/mmm, No. 123
**Formation energy without anion corrections**: 0.7367 eV/atom